TbDy6Ho2Sc3 after structural relaxation. Source: the Alexandria database, functional PBE-GGA.

Computed properties:
- Calculated formation energy: 0.043 eV per atom
- Space group: C2/m, No. 12
- DOS at the Fermi energy: 1.4554 states/eV/atom

Unit cell a=6.031 b=6.031 c=11.435 alpha=95.04 beta=95.04 gamma=119.96
Fractional coordinates of all 12 atoms:
Tb 0.000 0.000 0.000
Dy 0.914 0.580 0.741
Dy 0.753 0.753 0.259
Dy 0.086 0.420 0.259
Dy 0.580 0.914 0.741
Dy 0.247 0.247 0.741
Dy 0.420 0.086 0.259
Ho 0.333 0.667 0.000
Ho 0.667 0.333 0.000
Sc 0.167 0.833 0.500
Sc 0.833 0.167 0.500
Sc 0.500 0.500 0.500


ReTeCl2 after structural relaxation. Source: the Alexandria database, functional PBE-GGA.

Computed properties:
- Raw formation energy: 1.36 eV/atom
- ΔE to the lowest computed polymorph: 1.436 eV per atom
- Space group: P4/mmm, No. 123
- DOS at the Fermi energy: 0.7482 states/eV/atom

Unit cell a=5.033 b=5.033 c=3.049 alpha=90.00 beta=90.00 gamma=90.00
Fractional coordinates of all 4 atoms:
Re 0.500 0.000 0.500
Te 0.000 0.500 0.500
Cl 0.000 0.000 0.000
Cl 0.500 0.500 0.000


BaCaCu2 after structural relaxation. Source: the Alexandria database, functional PBE-GGA.

Computed properties:
- Calculated formation energy: 0.109 eV per atom
- ΔE to the lowest computed polymorph: 0.165 eV per atom
- Space group: P4mm, No. 99
- DOS at the Fermi energy: 0.7559 states/eV/atom

Unit cell a=3.581 b=3.581 c=8.512 alpha=90.00 beta=90.00 gamma=90.00
Fractional coordinates of all 4 atoms:
Ca 0.500 0.500 0.843
Ba 0.000 0.000 0.427
Cu 0.000 0.000 0.063
Cu 0.500 0.500 0.168


Na2Mn2GeS6 after structural relaxation. Source: the Alexandria database, functional PBE-GGA.

Computed properties:
- Raw formation energy: -0.68 eV/atom
- Space group: C2/m, No. 12
- DOS at the Fermi energy: 0.5575 states/eV/atom

Unit cell a=6.061 b=6.061 c=6.984 alpha=98.15 beta=98.15 gamma=120.60
Site moments in Bohr magnetons follow the coordinates.
Fractional coordinates of all 11 atoms:
Na 0.837 0.163 0.000  0.00
Na 0.163 0.837 0.000  0.00
Mn 0.332 0.668 0.500  2.17
Mn 0.668 0.332 0.500  2.17
Ge 0.000 0.000 0.500  -0.05
S 0.715 0.715 0.690  -0.06
S 0.062 0.411 0.692  -0.06
S 0.285 0.285 0.310  -0.06
S 0.411 0.062 0.692  -0.06
S 0.938 0.589 0.308  -0.06
S 0.589 0.938 0.308  -0.06


Pr6ErZn after structural relaxation. Source: the Alexandria database, functional PBE-GGA.

Computed properties:
- Calculated formation energy: -0.043 eV per atom
- Space group: C2/m, No. 12
- DOS at the Fermi energy: 1.1366 states/eV/atom

Unit cell a=6.785 b=9.118 c=6.711 alpha=65.16 beta=84.99 gamma=47.14
Fractional coordinates of all 8 atoms:
Pr 0.184 0.250 0.750
Pr 0.857 0.908 0.665
Pr 0.430 0.334 0.092
Pr 0.143 0.092 0.335
Pr 0.816 0.750 0.250
Pr 0.570 0.666 0.908
Er 0.500 0.500 0.500
Zn 0.000 0.000 0.000


Ba4P2Cl after structural relaxation. Source: the Alexandria database, functional PBE-GGA.

Computed properties:
- Raw formation energy: -1.31 eV/atom
- Space group: R-3m, No. 166
- DOS at the Fermi energy: 0.2938 states/eV/atom

Unit cell a=4.666 b=4.666 c=16.081 alpha=81.66 beta=81.66 gamma=60.00
Fractional coordinates of all 7 atoms:
Ba 0.117 0.117 0.649
Ba 0.288 0.288 0.135
Ba 0.712 0.712 0.865
Ba 0.883 0.883 0.351
P 0.414 0.414 0.757
P 0.586 0.586 0.243
Cl 0.000 0.000 0.000


LaZnIn2 after structural relaxation. Source: the Alexandria database, functional PBE-GGA.

Computed properties:
- Calculated formation energy: -0.048 eV per atom
- Space group: R3m, No. 160
- DOS at the Fermi energy: 0.9810 states/eV/atom

Unit cell a=10.410 b=10.410 c=10.410 alpha=19.23 beta=19.23 gamma=19.23
Site moments in Bohr magnetons follow the coordinates.
Fractional coordinates of all 4 atoms:
In 0.006 0.006 0.006  0.00
In 0.255 0.255 0.255  0.01
La 0.495 0.495 0.495  0.10
Zn 0.744 0.744 0.744  0.00


ScInHg2 after structural relaxation. Source: the Alexandria database, functional PBE-GGA.

Computed properties:
- Calculated formation energy: -0.217 eV per atom
- Space group: C2/m, No. 12
- DOS at the Fermi energy: 0.3920 states/eV/atom

Unit cell a=5.262 b=5.262 c=5.437 alpha=78.12 beta=78.12 gamma=39.45
Fractional coordinates of all 4 atoms:
Sc 0.250 0.250 0.250
Hg 0.995 0.995 0.012
Hg 0.505 0.505 0.488
In 0.750 0.750 0.750